16
Lattice="-1.964 -0.070 -4.129 -4.036 -0.938 1.935 -1.727 8.820 0.672" Properties=species:S:1:pos:R:3 comment="GGA-PBE KMg6SbO8, relaxed" final_energy_ev_per_cell=-86.5 spacegroup="No. 123" pbc="T T T"
Mg -2.309 6.742 -1.548
Mg -3.345 6.308 1.484
Mg -3.863 3.906 -0.761
Mg -3.000 -0.504 -1.097
Mg -2.418 1.574 1.123
Mg -1.382 2.008 -1.909
O -2.881 3.941 1.304
O -3.435 1.717 -0.928
O -1.846 4.375 -1.728
O -1.275 6.511 0.496
O -2.018 -0.469 0.968
O -0.452 2.309 0.176
O -0.982 -0.035 -2.065
O -4.292 6.095 -0.594
Sb -0.864 4.410 0.336
K 0.000 0.000 0.000

***

12
Lattice="5.833 0.000 0.000 -2.916 5.051 0.000 0.000 0.000 8.930" Properties=species:S:1:pos:R:3 comment="GGA-PBE Ce2MgAl3, relaxed" e_above_lowest_polymorph_ev_per_atom=0.0000 dos_ef_per_ev_atom=1.57 spacegroup="No. 194" formation_energy_ev_per_atom=-0.362 pbc="T T T"
Al 4.291 0.890 6.697
Al 1.374 4.161 2.232
Al 2.916 3.271 6.697
Al 0.000 1.781 2.232
Al -1.374 4.161 2.232
Al 1.542 0.890 6.697
Mg 0.000 0.000 4.465
Mg 0.000 0.000 0.000
Ce 2.916 1.684 3.648
Ce 0.000 3.368 8.113
Ce 0.000 3.368 5.281
Ce 2.916 1.684 0.816

***

4
Lattice="5.810 0.004 -0.008 2.972 4.992 0.008 -3.680 -3.748 2.483" Properties=species:S:1:pos:R:3 comment="GGA-PBE SrCoIr2, relaxed" e_above_lowest_polymorph_ev_per_atom=0.5452 dos_ef_per_ev_atom=1.07 spacegroup="No. 44" formation_energy_ev_per_atom=0.473 pbc="T T T"
Ir 3.562 -0.451 1.238
Ir 0.041 0.023 0.000
Co 1.515 1.685 1.246
Sr 4.377 2.490 0.000

***

19
Lattice="-4.102 4.028 5.252 -6.520 -2.345 -3.552 -0.012 -6.306 4.568" Properties=species:S:1:pos:R:3 comment="GGA-PBE HoCd12Hg6, relaxed" e_above_lowest_polymorph_ev_per_atom=0.0119 dos_ef_per_ev_atom=0.36 spacegroup="No. 148" formation_energy_ev_per_atom=-0.033 pbc="T T T"
Hg -4.573 1.204 4.209
Hg -4.770 -2.307 6.845
Hg -6.061 -5.827 2.059
Hg -5.863 -2.317 -0.577
Hg -8.319 -0.192 2.384
Hg -2.315 -4.431 3.884
Cd -5.340 -0.402 1.744
Cd -3.072 -1.163 -0.297
Cd -3.353 -1.595 4.234
Cd -6.552 -1.067 4.716
Cd -1.217 -2.336 1.986
Cd -8.278 -5.233 4.041
Cd -5.294 -4.221 4.524
Cd -2.356 0.610 2.227
Cd -4.081 -3.557 1.552
Cd -7.281 -3.028 2.034
Cd -7.561 -3.460 6.565
Cd -9.417 -2.288 4.282
Ho 0.000 0.000 0.000